1.
This record from Alexandria describes a relaxed LaZn2Sb crystal. The functional is PBE.

Cell lengths 5.179, 5.179, 5.179 Å; angles 60.00, 60.00, 60.00 degrees
Positions (direct):
La1 0.000 0.000 0.000
Zn1 0.500 0.500 0.500
Zn2 0.750 0.750 0.750
Sb1 0.250 0.250 0.250

- E_form (uncorrected): -0.25 eV per atom
- Space group: No. 216
- Magnetization: 0.0000 μB/atom


2.
This record from Alexandria describes a relaxed LaZn2Sb crystal. The functional is PBE.

Cell lengths 6.141, 6.141, 6.141 Å; angles 43.17, 43.17, 43.17 degrees
Positions (direct):
La1 0.000 0.000 0.000
Zn1 0.452 0.452 0.452
Zn2 0.774 0.774 0.774
Sb1 0.207 0.207 0.207

- E_form (uncorrected): -0.51 eV per atom
- Space group: No. 160
- Magnetization: 0.0000 μB/atom


3.
This record from Alexandria describes a relaxed La2ZnSb crystal. The functional is PBE.

Cell lengths 5.396, 5.396, 5.396 Å; angles 60.00, 60.00, 60.00 degrees
Positions (direct):
La1 0.000 0.000 0.000
La2 0.250 0.250 0.250
Zn1 0.750 0.750 0.750
Sb1 0.500 0.500 0.500

- Energy above the most stable polymorph in this dataset: 578.3 meV per atom
- E_form (uncorrected): -0.15 eV per atom
- Space group: No. 216
- Magnetization: 0.0001 μB/atom


4.
This record from Alexandria describes a relaxed LaZnSb2 crystal. The functional is PBE.

Cell lengths 5.361, 5.361, 5.361 Å; angles 60.00, 60.00, 60.00 degrees
Positions (direct):
La1 0.000 0.000 0.000
Zn1 0.750 0.750 0.750
Sb1 0.250 0.250 0.250
Sb2 0.500 0.500 0.500

- E_form (uncorrected): -0.31 eV per atom
- Space group: No. 216
- Magnetization: 0.0000 μB/atom